First-principles (PBE) data for Y3Cd3HgAu2 after structural relaxation, as listed in the Open Quantum Materials Database.

```
Y3Cd3HgAu2
1.0
-7.677 1.057 1.802
3.911 -6.332 2.813
1.012 2.015 3.129
Au Y Cd Hg
2 3 3 1
Direct
0.333 0.667 0.000
0.667 0.333 0.000
0.405 0.000 0.500
0.000 0.405 0.500
0.595 0.595 0.500
0.727 0.000 0.000
0.000 0.727 0.000
0.273 0.273 0.000
0.000 0.000 0.500
```

* symmetry: No. 189
* formation energy from the elements: -0.5988 eV/atom
* electronic total energy: -3.81 eV per atom
* V: 211 Å³ per cell

---

First-principles (PBE) data for Y3Cd3Hg2Au after structural relaxation, as listed in the Open Quantum Materials Database.

```
Y3Cd3Hg2Au
1.0
7.936 0.000 0.000
-3.968 6.873 0.000
0.000 0.000 3.953
Y Cd Au Hg
3 3 1 2
Direct
0.395 0.000 0.000
0.605 0.605 0.000
0.000 0.395 0.000
0.000 0.738 0.500
0.262 0.262 0.500
0.738 0.000 0.500
0.000 0.000 0.000
0.333 0.667 0.500
0.667 0.333 0.500
```

* symmetry: No. 189
* formation energy from the elements: -0.5031 eV/atom
* electronic total energy: -3.39 eV per atom
* V: 216 Å³ per cell